No. 1
Computed, not measured: an optimized crystal structure of Pm7ErTm4 at the PBE-GGA level of DFT.

Values from the calculation:
Space-group type   P-1, No. 2

Geometry as POSCAR:
```
Pm7ErTm4
1.0
6.934 1.859 0.864
5.178 7.668 2.433
-0.988 -0.420 8.837
Pm Er Tm
7 1 4
Cartesian
7.807 5.239 1.885 Pm
3.316 3.868 10.249 Pm
7.521 3.677 7.394 Pm
3.602 5.431 4.740 Pm
4.908 6.104 7.967 Pm
3.467 0.929 0.432 Pm
6.215 3.004 4.168 Pm
0.000 0.000 0.000 Er
7.088 6.388 5.160 Tm
4.035 2.720 6.974 Tm
8.374 7.043 8.390 Tm
2.749 2.065 3.744 Tm
```

***

No. 2
Computed, not measured: an optimized crystal structure of Pm5ErTm2 at the PBE-GGA level of DFT.

Values from the calculation:
Space-group type   P1, No. 1

Geometry as POSCAR:
```
Pm5ErTm2
1.0
-6.024 6.399 -6.729
-2.581 0.761 11.458
-1.780 7.095 4.671
Pm Er Tm
10 2 4
Cartesian
-5.653 8.698 3.742 Pm
-4.107 5.809 3.413 Pm
-5.858 8.061 11.405 Pm
-6.482 7.062 6.762 Pm
-6.690 7.016 0.825 Pm
-3.289 2.590 3.699 Pm
-9.296 12.478 8.521 Pm
-3.055 2.702 9.674 Pm
-3.935 6.220 9.127 Pm
-4.844 4.745 -1.762 Pm
-5.911 8.277 -2.351 Er
-2.247 4.119 0.777 Er
-7.317 10.947 11.753 Tm
-7.535 10.532 6.016 Tm
-3.019 7.795 6.067 Tm
-2.121 4.173 6.631 Tm
```

***

No. 3
Computed, not measured: an optimized crystal structure of PmEr7Tm2 at the PBE-GGA level of DFT.

Values from the calculation:
Space-group type   C2/m, No. 12

Geometry as POSCAR:
```
PmEr7Tm2
1.0
5.067 1.567 -0.859
2.760 7.457 -3.765
-1.267 -0.033 9.272
Pm Er Tm
1 7 2
Cartesian
0.000 0.000 0.000 Pm
1.449 5.940 2.542 Er
5.112 3.051 2.105 Er
4.582 5.906 4.175 Er
1.978 3.084 0.473 Er
5.901 7.576 -1.829 Er
0.660 1.415 6.476 Er
3.914 4.512 -2.312 Er
3.960 5.987 0.632 Tm
2.601 3.004 4.015 Tm
```

***

No. 4
Computed, not measured: an optimized crystal structure of Pm12ErTm6 at the PBE-GGA level of DFT.

Values from the calculation:
Space-group type   R-3, No. 148

Geometry as POSCAR:
```
Pm12ErTm6
1.0
8.537 0.696 0.834
-0.606 8.544 0.834
-0.606 -0.706 8.556
Pm Er Tm
12 1 6
Cartesian
6.082 4.828 4.808 Pm
2.901 6.598 5.609 Pm
3.850 3.525 7.494 Pm
1.244 3.707 5.417 Pm
4.425 1.937 4.615 Pm
3.476 5.010 2.731 Pm
-0.192 1.413 3.281 Pm
5.900 5.311 9.615 Pm
4.355 8.274 8.248 Pm
7.518 7.122 6.943 Pm
1.425 3.224 0.610 Pm
2.971 0.261 1.976 Pm
0.000 0.000 0.000 Er
5.602 8.001 3.907 Tm
5.788 2.631 1.654 Tm
0.266 5.897 2.884 Tm
1.723 0.534 6.317 Tm
1.538 5.904 8.570 Tm
7.059 2.638 7.340 Tm
```

***

No. 5
Computed, not measured: an optimized crystal structure of PmEr2Tm at the PBE-GGA level of DFT.

Values from the calculation:
Space-group type   P2/c, No. 13

Geometry as POSCAR:
```
PmEr2Tm
1.0
-4.145 -4.815 2.638
-0.879 -2.692 -6.296
9.541 -3.884 7.905
Pm Er Tm
4 8 4
Cartesian
2.145 -3.339 3.967 Pm
2.372 -8.052 0.280 Pm
-0.906 -3.540 -1.195 Pm
5.422 -7.850 5.442 Pm
5.861 -6.488 8.592 Er
-1.345 -4.902 -4.345 Er
2.824 -6.708 3.418 Er
1.692 -4.683 0.828 Er
-2.977 -5.963 0.135 Er
7.493 -5.428 4.112 Er
0.054 -5.751 5.285 Er
4.463 -5.640 -1.039 Er
4.906 -4.290 2.091 Tm
-0.389 -7.101 2.156 Tm
7.944 -4.069 7.269 Tm
-3.428 -7.321 -3.023 Tm
```

***

No. 6
Computed, not measured: an optimized crystal structure of Pm7ErTm3 at the PBE-GGA level of DFT.

Values from the calculation:
Space-group type   C2/c, No. 15

Geometry as POSCAR:
```
Pm7ErTm3
1.0
-4.074 8.928 -2.758
-2.328 -8.040 5.816
4.388 9.865 6.315
Pm Er Tm
14 2 6
Cartesian
-1.647 -3.104 5.898 Pm
0.613 1.820 9.024 Pm
0.983 2.588 5.536 Pm
-1.189 -2.341 2.391 Pm
-4.370 -1.907 3.886 Pm
-2.179 3.033 7.070 Pm
1.469 7.651 5.607 Pm
-3.483 3.102 3.766 Pm
2.356 12.660 5.486 Pm
0.165 7.720 2.303 Pm
-0.825 13.094 6.981 Pm
-2.997 8.165 3.837 Pm
-2.627 8.933 0.349 Pm
-0.367 13.857 3.475 Pm
-3.201 0.444 1.529 Er
-1.007 5.376 4.686 Er
0.512 5.188 7.877 Tm
0.000 0.000 0.000 Tm
2.194 4.932 3.157 Tm
-1.712 0.261 4.733 Tm
-0.302 10.492 4.640 Tm
-2.527 5.564 1.496 Tm
```

***

No. 7
Computed, not measured: an optimized crystal structure of PmEr14Tm at the PBE-GGA level of DFT.

Values from the calculation:
Space-group type   Amm2, No. 38

Geometry as POSCAR:
```
PmEr14Tm
1.0
7.011 -0.848 0.000
-2.770 6.496 0.000
0.000 0.000 11.346
Pm Er Tm
1 14 1
Cartesian
4.156 1.296 5.673 Pm
-2.359 6.188 0.000 Er
2.530 2.517 0.000 Er
0.649 1.720 5.673 Er
-0.973 2.941 0.000 Er
2.771 4.545 5.673 Er
1.146 5.762 0.000 Er
2.280 0.492 8.526 Er
2.280 0.492 2.820 Er
4.404 3.322 8.526 Er
4.404 3.322 2.820 Er
0.898 3.743 8.506 Er
0.898 3.743 2.840 Er
5.791 0.068 8.530 Er
5.791 0.068 2.817 Er
-0.736 4.969 5.673 Tm
```

***

No. 8
Computed, not measured: an optimized crystal structure of Pm5Er2Tm12 at the PBE-GGA level of DFT.

Values from the calculation:
Space-group type   C2/m, No. 12

Geometry as POSCAR:
```
Pm5Er2Tm12
1.0
6.969 0.000 0.000
-3.485 8.624 2.797
0.000 0.553 10.290
Pm Er Tm
5 2 12
Cartesian
0.000 3.690 9.468 Pm
0.000 5.608 3.933 Pm
0.000 0.277 5.145 Pm
3.485 3.569 9.155 Pm
3.485 5.487 3.620 Pm
5.083 0.000 0.000 Er
1.886 0.000 0.000 Er
3.485 8.331 5.203 Tm
-1.765 6.379 10.854 Tm
1.765 6.379 10.854 Tm
-1.725 6.104 7.260 Tm
1.725 6.104 7.260 Tm
0.000 8.959 9.732 Tm
3.485 0.217 3.356 Tm
5.210 3.072 5.828 Tm
1.759 3.072 5.828 Tm
5.249 2.797 2.234 Tm
1.720 2.797 2.234 Tm
0.000 0.845 7.885 Tm
```

***

No. 9
Computed, not measured: an optimized crystal structure of Pm7Er4Tm at the PBE-GGA level of DFT.

Values from the calculation:
Space-group type   P-1, No. 2

Geometry as POSCAR:
```
Pm7Er4Tm
1.0
6.933 1.887 0.862
5.150 7.695 2.437
-0.982 -0.429 8.855
Pm Er Tm
7 4 1
Cartesian
7.789 5.272 1.883 Pm
3.312 3.880 10.272 Pm
7.516 3.703 7.411 Pm
3.585 5.450 4.743 Pm
4.891 6.127 7.983 Pm
3.466 0.944 0.431 Pm
6.210 3.026 4.171 Pm
7.064 6.416 5.162 Er
4.037 2.737 6.992 Er
8.358 7.075 8.407 Er
2.743 2.078 3.747 Er
0.000 0.000 0.000 Tm
```

***

No. 10
Computed, not measured: an optimized crystal structure of PmEr6Tm12 at the PBE-GGA level of DFT.

Values from the calculation:
Space-group type   R-3m, No. 166

Geometry as POSCAR:
```
PmEr6Tm12
1.0
8.804 -0.335 -2.460
-3.155 8.226 -2.460
-0.240 -0.335 9.138
Pm Er Tm
1 6 12
Cartesian
0.000 0.000 0.000 Pm
5.002 1.871 3.900 Er
3.821 5.338 -0.796 Er
0.159 5.338 3.900 Er
1.588 2.218 5.014 Er
0.408 5.685 0.318 Er
5.250 2.218 0.318 Er
7.344 0.457 2.109 Tm
2.605 0.736 2.031 Tm
1.935 2.703 -0.633 Tm
5.552 4.853 2.187 Tm
3.474 4.853 4.852 Tm
2.805 6.820 2.187 Tm
1.574 7.099 -2.390 Tm
-0.804 3.778 6.608 Tm
-1.934 7.099 2.109 Tm
3.835 0.457 6.608 Tm
6.213 3.778 -2.390 Tm
-0.143 2.703 2.031 Tm
```

***

No. 11
Computed, not measured: an optimized crystal structure of Pm12Er3Tm at the PBE-GGA level of DFT.

Values from the calculation:
Space-group type   P4/mmm, No. 123

Geometry as POSCAR:
```
Pm12Er3Tm
1.0
-3.373 -3.240 -2.060
2.577 -3.943 1.981
-11.350 1.072 16.899
Pm Er Tm
12 3 1
Cartesian
-0.398 -3.591 -0.040 Pm
-3.233 -3.324 4.182 Pm
-6.073 -3.056 8.410 Pm
-8.913 -2.788 12.638 Pm
-3.103 -1.486 1.079 Pm
-5.941 -1.218 5.305 Pm
-8.782 -0.950 9.534 Pm
-11.621 -0.682 13.761 Pm
-0.128 -1.838 3.099 Pm
-2.966 -1.570 7.326 Pm
-5.807 -1.302 11.555 Pm
-8.645 -1.034 15.781 Pm
-2.835 0.268 4.222 Er
-5.675 0.536 8.450 Er
-8.515 0.804 12.678 Er
0.000 0.000 0.000 Tm
```

***

No. 12
Computed, not measured: an optimized crystal structure of Pm2ErTm at the PBE-GGA level of DFT.

Values from the calculation:
Space-group type   P4/mmm, No. 123

Geometry as POSCAR:
```
Pm2ErTm
1.0
3.584 0.000 0.000
0.000 3.584 0.000
0.000 0.000 10.044
Tm Pm Er
1 2 1
Cartesian
1.792 1.792 0.000 Tm
0.000 0.000 7.541 Pm
0.000 0.000 2.503 Pm
1.792 1.792 5.022 Er
```

***

No. 13
Computed, not measured: an optimized crystal structure of PmEr2Tm at the PBE-GGA level of DFT.

Values from the calculation:
Space-group type   Imm2, No. 44

Geometry as POSCAR:
```
PmEr2Tm
1.0
3.468 0.022 1.035
0.825 5.671 3.439
-0.106 0.421 6.669
Pm Er Tm
1 2 1
Cartesian
0.972 1.105 3.046 Pm
-0.024 0.841 6.382 Er
2.166 3.503 5.325 Er
3.062 4.142 8.629 Tm
```

***

No. 14
Computed, not measured: an optimized crystal structure of Pm12Er5Tm at the PBE-GGA level of DFT.

Values from the calculation:
Space-group type   C2/m, No. 12

Geometry as POSCAR:
```
Pm12Er5Tm
1.0
11.179 0.000 0.013
5.589 8.967 0.007
-0.008 0.000 5.950
Pm Er Tm
12 5 1
Cartesian
9.387 0.000 2.980 Pm
1.784 0.000 2.983 Pm
7.367 0.000 5.953 Pm
3.804 0.000 0.010 Pm
7.385 5.997 5.953 Pm
3.786 5.997 0.010 Pm
12.974 2.969 5.960 Pm
9.375 2.969 0.017 Pm
7.389 2.976 2.990 Pm
12.979 5.990 2.996 Pm
3.782 2.976 2.974 Pm
9.371 5.990 2.980 Pm
5.585 0.000 2.982 Er
5.585 5.962 2.982 Er
11.175 3.005 2.988 Er
11.179 5.957 0.013 Er
5.589 3.009 0.007 Er
0.000 0.000 0.000 Tm
```

***

No. 15
Computed, not measured: an optimized crystal structure of Pm2Er8Tm at the PBE-GGA level of DFT.

Values from the calculation:
Space-group type   C2/m, No. 12

Geometry as POSCAR:
```
Pm2Er8Tm
1.0
4.819 0.000 -1.283
-0.538 7.616 -2.020
-0.092 0.015 9.344
Pm Er Tm
2 8 1
Cartesian
0.709 4.860 2.662 Pm
3.480 2.772 3.379 Pm
2.581 3.454 0.003 Er
1.429 0.708 5.367 Er
0.530 1.363 1.990 Er
-0.185 5.546 -0.695 Er
3.659 6.269 4.051 Er
2.760 6.923 0.674 Er
1.608 4.177 6.038 Er
4.374 2.086 6.736 Er
2.409 0.000 -0.642 Tm
```

***

No. 16
Computed, not measured: an optimized crystal structure of PmEr8Tm5 at the PBE-GGA level of DFT.

Values from the calculation:
Space-group type   I-4, No. 82

Geometry as POSCAR:
```
PmEr8Tm5
1.0
-1.523 1.507 -8.061
6.014 -5.701 0.948
-7.233 -2.644 3.203
Pm Er Tm
1 8 5
Cartesian
-2.799 -4.457 0.861 Pm
3.611 -4.187 -0.348 Er
-5.672 -0.818 -5.219 Er
-1.964 -1.222 -4.538 Er
-5.331 -3.679 -2.074 Er
0.837 -3.387 -2.807 Er
-1.410 -6.584 -1.098 Er
-2.014 -2.088 -1.155 Er
0.972 -5.389 1.600 Er
0.902 -2.137 0.417 Tm
2.767 -4.351 -5.513 Tm
-2.353 -4.533 -3.610 Tm
-4.378 -0.569 -2.429 Tm
-6.802 -2.655 0.886 Tm
```

***

No. 17
Computed, not measured: an optimized crystal structure of PmEr3Tm2 at the PBE-GGA level of DFT.

Values from the calculation:
Space-group type   P-1, No. 2

Geometry as POSCAR:
```
PmEr3Tm2
1.0
6.858 -1.125 -1.454
-4.072 9.211 -0.356
-2.122 0.680 6.734
Pm Er Tm
2 6 4
Cartesian
1.188 -0.107 1.319 Pm
-0.524 8.874 3.604 Pm
0.123 0.231 4.688 Er
0.541 8.536 0.236 Er
0.980 5.795 4.391 Er
-1.376 3.305 3.897 Er
2.040 5.462 1.026 Er
-0.317 2.972 0.533 Er
-1.389 6.019 1.750 Tm
-2.455 6.366 5.120 Tm
3.119 2.401 -0.197 Tm
2.053 2.748 3.174 Tm
```

***

No. 18
Computed, not measured: an optimized crystal structure of Pm4Er19Tm6 at the PBE-GGA level of DFT.

Values from the calculation:
Space-group type   I23, No. 197

Geometry as POSCAR:
```
Pm4Er19Tm6
1.0
-6.974 7.882 2.130
0.164 -1.874 -10.572
-2.994 -8.922 5.171
Pm Er Tm
4 19 6
Cartesian
-1.924 -5.733 3.323 Pm
0.105 -1.204 -6.793 Pm
-3.504 -1.041 -1.169 Pm
-4.481 5.065 1.369 Pm
-7.331 -0.765 5.370 Er
-2.637 -0.275 1.931 Er
-1.801 1.589 -2.233 Er
-5.009 4.419 -6.209 Er
-2.081 -7.940 -3.972 Er
-0.749 -2.856 -1.429 Er
0.000 0.000 0.000 Er
-2.995 -3.625 0.982 Er
-5.536 5.565 -1.824 Er
-5.952 -0.045 -3.191 Er
-0.950 -4.434 -6.662 Er
-5.124 -7.723 -2.508 Er
-4.372 1.987 0.109 Er
-9.209 0.162 2.712 Er
-5.076 -3.543 -2.700 Er
-6.314 1.425 -7.092 Er
-4.744 -4.469 4.740 Er
-1.998 -1.146 -4.215 Er
-6.552 -1.637 0.026 Er
-5.128 -5.785 0.019 Tm
-4.676 2.871 -3.290 Tm
-2.283 -4.632 -3.777 Tm
-7.520 1.718 0.506 Tm
-4.459 -1.018 -6.233 Tm
-5.344 -1.896 2.962 Tm
```

***

no.,M_tot (μB per atom),E_form (eV per atom),density (g/cm3)
1,0.000,0.00,7.87
2,0.000,0.07,7.72
3,0.000,0.05,8.89
4,0.000,0.14,7.61
5,0.000,0.21,8.25
6,0.000,0.18,7.33
7,0.000,0.01,9.00
8,0.000,0.18,8.44
9,0.000,0.00,7.82
10,0.000,0.45,8.28
11,0.000,0.02,7.52
12,0.000,0.02,8.06
13,0.000,0.01,8.48
14,0.000,0.10,7.64
15,0.000,0.02,8.72
16,0.002,0.25,8.68
17,0.000,0.00,8.82
18,0.006,0.40,8.31